VASP calculation (PBE) on crystalline GePdIN2 at its relaxed geometry.

Geometry as CIF:
```
data_GePdIN2
_chemical_formula_sum 'Ge1 Pd1 I1 N2'
_cell_length_a 3.737
_cell_length_b 3.737
_cell_length_c 7.895
_cell_angle_alpha 90.00
_cell_angle_beta 90.00
_cell_angle_gamma 90.00
_symmetry_space_group_name_H-M 'P 4/m m m'
_symmetry_Int_Tables_number 123
_symmetry_space_group_name_Hall '-P 4 2'
loop_
_atom_site_label
_atom_site_type_symbol
_atom_site_fract_x
_atom_site_fract_y
_atom_site_fract_z
Ge1 Ge 0.000 0.000 0.000
Pd1 Pd 0.500 0.500 0.500
I1 I 0.000 0.000 0.500
N1 N 0.000 0.500 0.000
```

Calculated values
- calculated volume (Å³ per cell) = 110.28
- total magnetic moment (μB/cell) = 0.0
- density of states at the Fermi level (states/eV per cell) = 3.5
- formation energy without anion corrections (eV per atom) = 1.161
- crystal system = tetragonal
- E (Ha/atom) = -0.1632